[1]
Computed, not measured: a geometry-optimized Li4ErAl structure at the PBE level of DFT.

Lattice parameters (Å, degrees): 5.391 5.391 5.391 60.00 60.00 60.00
Element x y z (fractional)
Li  0.626  0.626  0.626
Li  0.626  0.626  0.121
Li  0.626  0.121  0.626
Al  0.000  0.000  0.000
Er  0.250  0.250  0.250
Li  0.121  0.626  0.626

Values from the calculation:
E_tot (eV per cell): -16.177
Mass density (g/cm³): 3.3
Space-group type: F-43m, No. 216
ΔH_f (0 K) (meV/atom): -36


[2]
Computed, not measured: a geometry-optimized LiEr3Al12 structure at the PBE level of DFT.

Lattice parameters (Å, degrees): 4.196 4.196 16.622 90.00 90.00 90.00
Element x y z (fractional)
Al  0.000  0.500  0.629
Li  0.000  0.000  0.000
Al  0.000  0.500  0.371
Er  0.000  0.000  0.500
Al  0.500  0.000  0.629
Al  0.500  0.500  0.246
Er  0.000  0.000  0.243
Er  0.000  0.000  0.757
Al  0.500  0.000  0.371
Al  0.500  0.500  0.000
Al  0.000  0.500  0.113
Al  0.000  0.500  0.887
Al  0.500  0.500  0.754
Al  0.500  0.000  0.887
Al  0.500  0.500  0.500
Al  0.500  0.000  0.113

Values from the calculation:
E_tot (eV per cell): -65.798
Mass density (g/cm³): 4.7
Space-group type: P4/mmm, No. 123
ΔH_f (0 K) (meV/atom): -330


[3]
Computed, not measured: a geometry-optimized LiEr2Al3 structure at the PBE level of DFT.

Lattice parameters (Å, degrees): 5.746 5.746 8.685 103.77 103.77 106.27
Element x y z (fractional)
Li  0.668  0.668  0.336
Al  0.165  0.667  0.832
Al  0.333  0.835  0.168
Er  0.750  0.250  0.500
Al  0.835  0.333  0.168
Li  0.332  0.332  0.664
Er  0.747  0.747  0.000
Al  0.834  0.834  0.667
Al  0.166  0.166  0.333
Al  0.667  0.165  0.832
Er  0.250  0.750  0.500
Er  0.253  0.253  0.000

Values from the calculation:
E_tot (eV per cell): -48.801
Mass density (g/cm³): 5.6
Space-group type: Fmmm, No. 69
ΔH_f (0 K) (meV/atom): -356


[4]
Computed, not measured: a geometry-optimized LiEr4Al12 structure at the PBE level of DFT.

Lattice parameters (Å, degrees): 7.484 7.484 7.484 109.47 109.47 109.47
Element x y z (fractional)
Er  0.000  0.000  0.500
Al  0.295  0.295  0.000
Al  0.750  0.500  0.250
Al  0.250  0.500  0.750
Al  0.500  0.750  0.250
Al  0.500  0.250  0.750
Er  0.500  0.500  0.500
Al  0.295  0.000  0.295
Er  0.000  0.500  0.000
Al  0.000  0.295  0.295
Al  0.705  0.705  0.000
Li  0.000  0.000  0.000
Al  0.000  0.705  0.705
Er  0.500  0.000  0.000
Al  0.705  0.000  0.705
Al  0.250  0.750  0.500
Al  0.750  0.250  0.500

Values from the calculation:
E_tot (eV per cell): -71.590
Mass density (g/cm³): 5.1
Space-group type: Im-3m, No. 229
ΔH_f (0 K) (meV/atom): -383


[5]
Computed, not measured: a geometry-optimized LiErLuAl structure at the PBE level of DFT.

Lattice parameters (Å, degrees): 5.073 5.073 5.073 60.00 60.00 60.00
Element x y z (fractional)
Lu  0.750  0.750  0.750
Al  0.000  0.000  0.000
Er  0.250  0.250  0.250
Li  0.500  0.500  0.500

Values from the calculation:
E_tot (eV per cell): -15.558
Mass density (g/cm³): 6.8
Space-group type: F-43m, No. 216
ΔH_f (0 K) (meV/atom): -204


[6]
Computed, not measured: a geometry-optimized LiErMgAl structure at the PBE level of DFT.

Lattice parameters (Å, degrees): 4.904 4.904 4.904 60.00 60.00 60.00
Element x y z (fractional)
Li  0.000  0.000  0.000
Er  0.250  0.250  0.250
Mg  0.750  0.750  0.750
Al  0.500  0.500  0.500

Values from the calculation:
E_tot (eV per cell): -12.575
Mass density (g/cm³): 4.5
Space-group type: F-43m, No. 216
ΔH_f (0 K) (meV/atom): -190